1.
LaCoCl2 | PBE-GGA | relaxed

```
4
Lattice="7.558 0.011 0.007 6.504 3.850 0.007 6.504 1.786 3.411" Properties=species:S:1:pos:R:3 pbc="T T T"
Cl 4.063 1.116 0.677
Co 10.479 2.877 1.745
Cl 0.410 0.113 0.068
La 15.897 4.365 2.647
```

---

2.
Tl3SnTe | PBE-GGA | relaxed

```
5
Lattice="5.812 0.000 0.000 0.000 5.812 0.000 0.000 0.000 5.812" Properties=species:S:1:pos:R:3 pbc="T T T"
Tl 2.906 0.000 0.000
Te 2.906 2.906 2.906
Sn 0.000 0.000 0.000
Tl 0.000 0.000 2.906
Tl 0.000 2.906 0.000
```

---

3.
TiMo2PbI | PBE-GGA | relaxed

```
5
Lattice="5.145 0.000 0.000 0.000 5.124 0.000 0.000 0.000 5.145" Properties=species:S:1:pos:R:3 pbc="T T T"
Mo 0.000 0.000 2.573
Ti 0.000 2.562 0.000
Pb 0.000 0.000 0.000
Mo 2.573 0.000 0.000
I 2.573 2.562 2.573
```

---

Number 1: total energy -4.9835 eV/atom. Number 2: total energy -2.6642 eV/atom. Number 3: total energy -4.8421 eV/atom.